YSnOF2 | PBE-GGA | relaxed

Relative energy among the computed polymorphs   0.0 kJ/mol of atoms

a b c (Å): 4.4719 4.4719 4.4379
angles (deg): 90.00 90.00 90.00
Positions (direct):
Y: 0.0000 0.0000 0.0000
Sn: 0.5000 0.5000 0.5000
O: 0.0000 0.0000 0.5000
F: 0.0000 0.5000 0.0000
F: 0.5000 0.0000 0.0000

***

YSnO2F | PBE-GGA | relaxed

a b c (Å): 4.2826 4.2826 4.3643
angles (deg): 90.00 90.00 90.00
Positions (direct):
Y: 0.5000 0.5000 0.5000
Sn: 0.0000 0.0000 0.0000
O: 0.0000 0.5000 0.0000
O: 0.5000 0.0000 0.0000
F: 0.0000 0.0000 0.5000

***

YSnOF2 | PBE-GGA | relaxed

Relative energy among the computed polymorphs   91.9 kJ/mol of atoms

a b c (Å): 4.5497 4.5497 4.3809
angles (deg): 90.00 90.00 90.00
Each line ends with the local moment (μB).
Positions (direct):
Y: 0.5000 0.5000 0.5000  0.53
Sn: 0.0000 0.0000 0.0000  0.00
O: 0.0000 0.0000 0.5000  -0.02
F: 0.0000 0.5000 0.0000  0.02
F: 0.5000 0.0000 0.0000  0.02

***

YSnO2F | PBE-GGA | relaxed

a b c (Å): 4.3877 4.3877 4.2318
angles (deg): 90.00 90.00 90.00
Positions (direct):
Y: 0.0000 0.0000 0.0000
Sn: 0.5000 0.5000 0.5000
O: 0.0000 0.5000 0.0000
O: 0.5000 0.0000 0.0000
F: 0.0000 0.0000 0.5000

***

ZnSnOF2 | PBE-GGA | relaxed

Relative energy among the computed polymorphs   30.2 kJ/mol of atoms

a b c (Å): 4.4266 4.4266 4.0225
angles (deg): 90.00 90.00 90.00
Each line ends with the local moment (μB).
Positions (direct):
Zn: 0.5000 0.5000 0.5000  0.09
Sn: 0.0000 0.0000 0.0000  -0.01
O: 0.0000 0.0000 0.5000  0.02
F: 0.0000 0.5000 0.0000  0.01
F: 0.5000 0.0000 0.0000  0.01

***

ZnSnOF2 | PBE-GGA | relaxed

Relative energy among the computed polymorphs   0.0 kJ/mol of atoms

a b c (Å): 4.0697 4.0697 4.0865
angles (deg): 90.00 90.00 90.00
Positions (direct):
Zn: 0.0000 0.0000 0.0000
Sn: 0.5000 0.5000 0.5000
O: 0.0000 0.0000 0.5000
F: 0.0000 0.5000 0.0000
F: 0.5000 0.0000 0.0000

***

ZrSnO2F | PBE-GGA | relaxed

a b c (Å): 4.1998 4.1998 4.3964
angles (deg): 90.00 90.00 90.00
Positions (direct):
O: 0.0000 0.5000 0.0000
O: 0.5000 0.0000 0.0000
Sn: 0.5000 0.5000 0.5000
Zr: 0.0000 0.0000 0.0000
F: 0.0000 0.0000 0.5000

***

ZrSnO2F | PBE-GGA | relaxed

a b c (Å): 4.2082 4.2082 4.3495
angles (deg): 90.00 90.00 90.00
Each line ends with the local moment (μB).
Positions (direct):
O: 0.0000 0.5000 0.0000  0.01
O: 0.5000 0.0000 0.0000  0.01
Sn: 0.0000 0.0000 0.0000  0.00
Zr: 0.5000 0.5000 0.5000  1.49
F: 0.0000 0.0000 0.5000  0.03

***

ZrSnOF2 | PBE-GGA | relaxed

Relative energy among the computed polymorphs   0.0 kJ/mol of atoms

a b c (Å): 4.4783 4.4783 4.1149
angles (deg): 90.00 90.00 90.00
Each line ends with the local moment (μB).
Positions (direct):
O: 0.0000 0.0000 0.5000  -0.02
Sn: 0.5000 0.5000 0.5000  0.02
Zr: 0.0000 0.0000 0.0000  0.27
F: 0.0000 0.5000 0.0000  0.01
F: 0.5000 0.0000 0.0000  0.01

***

ZrSnOF2 | PBE-GGA | relaxed

Relative energy among the computed polymorphs   107.3 kJ/mol of atoms

a b c (Å): 4.5040 4.5040 4.3136
angles (deg): 90.00 90.00 90.00
Each line ends with the local moment (μB).
Positions (direct):
O: 0.0000 0.0000 0.5000  -0.02
Sn: 0.0000 0.0000 0.0000  -0.04
Zr: 0.5000 0.5000 0.5000  1.56
F: 0.0000 0.5000 0.0000  0.02
F: 0.5000 0.0000 0.0000  0.02

***

SrOF4 | PBE-GGA | relaxed

a b c (Å): 4.3746 7.2907 7.2907
angles (deg): 132.18 93.58 93.59
Each line ends with the local moment (μB).
Positions (direct):
Sr: 0.7500 0.6337 0.3663  0.00
Sr: 0.2500 0.3664 0.6337  0.00
O: 0.2500 0.0473 0.9527  0.79
O: 0.7500 0.9527 0.0473  0.79
F: 0.7568 0.6543 0.7666  0.05
F: 0.1318 0.8980 0.3616  0.01
F: 0.7432 0.2334 0.3457  0.05
F: 0.3682 0.6384 0.1020  0.01
F: 0.6318 0.3616 0.8980  0.01
F: 0.2568 0.7666 0.6543  0.05
F: 0.8682 0.1020 0.6384  0.01
F: 0.2432 0.3457 0.2334  0.05

***

Sr2OF2 | PBE-GGA | relaxed

Relative energy among the computed polymorphs   0.0 kJ/mol of atoms

a b c (Å): 6.2888 6.3379 8.7978
angles (deg): 91.50 90.00 90.00
Positions (direct):
Sr: 0.9370 0.3065 0.8258
Sr: 0.5630 0.8065 0.8258
Sr: 0.4370 0.1935 0.1742
Sr: 0.0630 0.6935 0.1742
Sr: 0.4495 0.2605 0.5966
Sr: 0.0505 0.7605 0.5966
Sr: 0.9495 0.2395 0.4034
Sr: 0.5505 0.7395 0.4034
O: 0.7635 0.4951 0.6026
O: 0.2365 0.5049 0.3974
O: 0.7365 0.9951 0.6026
O: 0.2635 0.0049 0.3974
F: 0.8940 0.6814 0.9205
F: 0.6060 0.1814 0.9205
F: 0.3940 0.8186 0.0795
F: 0.1060 0.3186 0.0795
F: 0.2212 0.0387 0.7588
F: 0.2788 0.5387 0.7588
F: 0.7212 0.4613 0.2412
F: 0.7788 0.9613 0.2412

***

SrO2F2 | PBE-GGA | relaxed

a b c (Å): 2.9801 2.9801 8.7605
angles (deg): 80.21 80.21 90.00
Each line ends with the local moment (μB).
Positions (direct):
Sr: 0.0000 0.0000 0.0000  0.00
O: 0.7500 0.2500 0.5000  0.55
O: 0.2500 0.7500 0.5000  0.55
F: 0.4261 0.4261 0.1479  0.00
F: 0.5739 0.5739 0.8521  0.00

***

SrO2F3 | PBE-GGA | relaxed

a b c (Å): 4.8956 7.9968 5.3355
angles (deg): 113.98 101.07 96.73
Each line ends with the local moment (μB).
Positions (direct):
Sr: 0.1088 0.2713 0.0427  0.00
Sr: 0.8912 0.7287 0.9573  0.00
O: 0.2735 0.3670 0.6310  1.41
O: 0.3286 0.8720 0.6347  1.79
O: 0.6714 0.1280 0.3653  1.79
O: 0.7265 0.6330 0.3690  1.41
F: 0.3937 0.7634 0.9186  0.34
F: 0.6063 0.2366 0.0814  0.34
F: 0.9344 0.9314 0.7018  0.37
F: 0.1815 0.6165 0.2754  0.36
F: 0.8185 0.3835 0.7246  0.36
F: 0.0656 0.0686 0.2982  0.37

***

SrOF2 | PBE-GGA | relaxed

Relative energy among the computed polymorphs   62.8 kJ/mol of atoms

a b c (Å): 3.9377 3.9377 3.9377
angles (deg): 69.34 69.34 69.34
Positions (direct):
Sr: 0.5000 0.5000 0.5000
O: 0.0000 0.0000 0.0000
F: 0.7939 0.7939 0.7939
F: 0.2061 0.2061 0.2061

***

SrOF3 | PBE-GGA | relaxed

Relative energy among the computed polymorphs   68.0 kJ/mol of atoms

a b c (Å): 4.7896 4.7896 4.7896
angles (deg): 90.00 90.00 90.00
Each line ends with the local moment (μB).
Positions (direct):
Sr: 0.0000 0.0000 0.0000  -0.01
O: 0.5000 0.5000 0.5000  1.77
F: 0.0000 0.5000 0.0000  0.17
F: 0.0000 0.0000 0.5000  0.31
F: 0.5000 0.0000 0.0000  0.24

***

SrOF2 | PBE-GGA | relaxed

Relative energy among the computed polymorphs   82.1 kJ/mol of atoms

a b c (Å): 4.1954 4.1954 8.0990
angles (deg): 74.99 74.99 90.00
Each line ends with the local moment (μB).
Positions (direct):
Sr: 0.0000 0.0000 0.0000  -0.01
Sr: 0.7500 0.2500 0.5000  -0.01
O: 0.5000 0.5000 0.0000  1.29
O: 0.2500 0.7500 0.5000  1.29
F: 0.6302 0.1250 0.2500  0.22
F: 0.1198 0.6250 0.2500  0.22
F: 0.3750 0.3698 0.7500  0.20
F: 0.8750 0.8802 0.7500  0.20

***

Sr2O2F | PBE-GGA | relaxed

a b c (Å): 6.8365 6.8365 3.4161
angles (deg): 90.00 90.00 90.00
Each line ends with the local moment (μB).
Positions (direct):
Sr: 0.3240 0.8240 0.0000  0.00
Sr: 0.8240 0.6760 0.0000  0.00
Sr: 0.6760 0.1760 0.0000  0.00
Sr: 0.1760 0.3240 0.0000  0.00
O: 0.1192 0.6192 0.5000  0.43
O: 0.6192 0.8808 0.5000  0.43
O: 0.8808 0.3808 0.5000  0.43
O: 0.3808 0.1192 0.5000  0.43
F: 0.0000 0.0000 0.0000  0.00
F: 0.5000 0.5000 0.0000  0.00

***

SrOF2 | PBE-GGA | relaxed

Relative energy among the computed polymorphs   0.0 kJ/mol of atoms

a b c (Å): 3.9157 6.7700 8.3016
angles (deg): 119.03 82.72 89.94
Each line ends with the local moment (μB).
Positions (direct):
Sr: 0.2774 0.8418 0.5496  0.00
Sr: 0.7773 0.3448 0.5536  0.00
O: 0.6459 0.6159 0.0088  0.81
O: 0.4112 0.5685 0.0950  0.81
F: 0.8140 0.5946 0.4163  0.00
F: 0.3141 0.0986 0.4175  0.00
F: 0.2409 0.5919 0.6869  0.00
F: 0.7406 0.0880 0.6857  0.00

***

Sr3O2F | PBE-GGA | relaxed

a b c (Å): 5.1123 8.0006 8.0006
angles (deg): 121.40 90.00 90.00
Positions (direct):
Sr: 0.9930 0.8417 0.4746
Sr: 0.4930 0.5254 0.1583
Sr: 0.9930 0.4746 0.8417
Sr: 0.4930 0.1583 0.5254
Sr: 0.4930 0.7296 0.7296
Sr: 0.9930 0.2704 0.2704
O: 0.4930 0.8295 0.4842
O: 0.9930 0.5158 0.1705
O: 0.4930 0.4842 0.8295
O: 0.9930 0.1705 0.5158
F: 0.9930 0.6246 0.6246
F: 0.4930 0.3754 0.3754

***

| no. | ΔE_f (raw) (meV/atom) | V (Å³/f.u.) |
| --- | --- | --- |
| 1 | -2517 | 88.75 |
| 2 | -1570 | 80.04 |
| 3 | -1565 | 90.68 |
| 4 | -2287 | 81.47 |
| 5 | -1310 | 78.82 |
| 6 | -1622 | 67.68 |
| 7 | -2202 | 77.54 |
| 8 | -999 | 77.03 |
| 9 | -2132 | 82.52 |
| 10 | -1020 | 87.51 |
| 11 | -1630 | 85.13 |
| 12 | -3352 | 87.64 |
| 13 | -1130 | 75.52 |
| 14 | -1123 | 91.41 |
| 15 | -2177 | 51.61 |
| 16 | -1603 | 109.87 |
| 17 | -1977 | 66.32 |
| 18 | -2650 | 79.83 |
| 19 | -2828 | 95.19 |
| 20 | -2722 | 139.66 |